1.
# Ga2CoOsBr

Ga2CoOsBr after structural relaxation (PBE, Alexandria via LeMat-Bulk).

Summary:
Its raw formation energy is 702 meV per atom. As for the space-group type: P4/mmm (123).

Structure (extended XYZ):
```
5
Lattice="4.637 0.000 0.000 0.000 4.637 0.000 0.000 0.000 4.534" Properties=species:S:1:pos:R:3 pbc="T T T"
Ga 0.000 2.318 0.000
Ga 2.318 0.000 0.000
Co 0.000 0.000 0.000
Os 0.000 0.000 2.267
Br 2.318 2.318 2.267
```

2.
# Ga2CoPbBr

Ga2CoPbBr after structural relaxation (PBE, Alexandria via LeMat-Bulk).

Summary:
Its raw formation energy is -264 meV per atom. As for the space-group type: P4/mmm (123).

Structure (extended XYZ):
```
5
Lattice="4.692 0.000 0.000 0.000 4.692 0.000 0.000 0.000 5.102" Properties=species:S:1:pos:R:3 pbc="T T T"
Ga 0.000 2.346 0.000
Ga 2.346 0.000 0.000
Co 0.000 0.000 0.000
Pb 0.000 0.000 2.551
Br 2.346 2.346 2.551
```

3.
# Pm6GaCo2Br3

Pm6GaCo2Br3 after structural relaxation (PBE, Alexandria via LeMat-Bulk).

Summary:
Its raw formation energy is -775 meV per atom. As for the space-group type: C2/m (12).

Structure (extended XYZ):
```
12
Lattice="9.706 -2.002 0.000 9.706 2.002 0.000 -3.083 0.000 8.538" Properties=species:S:1:pos:R:3 pbc="T T T"
Pm -0.311 0.000 2.152
Pm 4.813 0.000 3.746
Pm 3.885 0.000 7.412
Pm 12.444 0.000 1.126
Pm 11.515 0.000 4.792
Pm 16.639 0.000 6.386
Ga 9.706 0.000 0.000
Co 2.244 0.000 2.942
Co 14.084 0.000 5.595
Br 0.579 0.000 7.180
Br 8.164 0.000 4.269
Br 15.750 0.000 1.358
```

4.
# Pm4GaCoBr2

Pm4GaCoBr2 after structural relaxation (PBE, Alexandria via LeMat-Bulk).

Summary:
Its raw formation energy is -778 meV per atom. As for the space-group type: P2/m (10).

Structure (extended XYZ):
```
8
Lattice="7.449 0.000 0.000 0.000 3.987 0.000 -2.401 0.000 7.613" Properties=species:S:1:pos:R:3 pbc="T T T"
Pm 1.204 0.000 1.512
Pm -0.220 1.994 6.070
Pm 5.268 1.994 1.543
Pm 3.843 0.000 6.101
Ga 3.724 0.000 0.000
Co 0.000 1.994 0.000
Br -1.201 0.000 3.806
Br 2.524 1.994 3.806
```

5.
# ScGaCo2Br

ScGaCo2Br after structural relaxation (PBE, Alexandria via LeMat-Bulk).

Summary:
Its raw formation energy is 561 meV per atom. As for the space-group type: P4/mmm (123).

Structure (extended XYZ):
```
5
Lattice="4.352 0.000 0.000 0.000 4.352 0.000 0.000 0.000 4.940" Properties=species:S:1:pos:R:3 pbc="T T T"
Sc 0.000 0.000 0.000
Ga 2.176 2.176 0.000
Co 0.000 2.176 2.470
Co 2.176 0.000 2.470
Br 0.000 0.000 2.470
```

6.
# GaCoSeBr2

GaCoSeBr2 after structural relaxation (PBE, Alexandria via LeMat-Bulk).

Summary:
The calculation puts the relative energy among the computed polymorphs at 0.000 eV per atom. Its raw formation energy is -43 meV per atom. As for the space-group type: P4/mmm (123).

Structure (extended XYZ):
```
5
Lattice="5.184 0.000 0.000 0.000 5.184 0.000 0.000 0.000 4.543" Properties=species:S:1:pos:R:3 pbc="T T T"
Ga 0.000 0.000 0.000
Co 2.592 2.592 2.271
Se 2.592 2.592 0.000
Br 0.000 2.592 2.271
Br 2.592 0.000 2.271
```